(1)
Density functional theory data (GGA-PBE) for a geometry-optimized Sm4Y8Er3 structure.

## Properties
Electronic total energy: -0.2016 Ha/atom
Energy above the lowest structure with this stoichiometry: 0.000 eV per atom
Crystal system: trigonal
Mass density: 6068 kg/m3
Energy of formation: 134 meV per atom

The structure in extended XYZ format:
```
15
Lattice="3.487 2.013 11.793 -3.487 2.013 11.793 0.000 -4.026 11.793" Properties=species:S:1:pos:R:3 pbc="T T T"
Sm 0.000 0.000 0.000
Sm 0.000 0.000 5.794
Sm 0.000 0.000 17.689
Sm 0.000 0.000 29.584
Y 0.000 -2.003 14.713
Y -1.734 1.001 14.713
Y -1.734 -1.001 20.664
Y 0.000 0.000 9.027
Y 0.000 0.000 26.351
Y 1.734 1.001 14.713
Y 1.734 -1.001 20.664
Y 0.000 2.003 20.664
Er -1.743 -1.006 11.793
Er -1.743 1.006 23.585
Er 0.000 2.013 11.793
```


(2)
Density functional theory data (GGA-PBE) for a geometry-optimized Sm6Y3Er structure.

## Properties
Electronic total energy: -0.1870 Ha/atom
Energy above the lowest structure with this stoichiometry: 0.010 eV per atom
Crystal system: orthorhombic
Mass density: 6624 kg/m3
Energy of formation: 139 meV per atom

The structure in extended XYZ format:
```
20
Lattice="5.565 -9.673 0.000 5.565 9.673 0.000 0.000 0.000 6.223" Properties=species:S:1:pos:R:3 pbc="T T T"
Sm 5.565 8.838 3.111
Sm 2.924 4.078 5.828
Sm 5.565 4.278 1.346
Sm 3.712 0.863 0.700
Sm 3.712 -0.863 3.811
Sm 2.924 -4.078 2.717
Sm 8.206 4.078 5.828
Sm 7.417 0.863 0.700
Sm 7.417 -0.863 3.811
Sm 5.565 -4.278 4.457
Sm 8.206 -4.078 2.717
Sm 5.565 -8.838 0.000
Y 1.861 2.149 3.362
Y 1.861 -2.149 0.251
Y 5.565 2.182 4.021
Y 5.565 -2.182 0.910
Y 9.268 2.149 3.362
Y 9.268 -2.149 0.251
Er 5.565 5.758 4.346
Er 5.565 -5.758 1.235
```


(3)
Density functional theory data (GGA-PBE) for a geometry-optimized Sm5Y3Er3 structure.

## Properties
Electronic total energy: -0.1772 Ha/atom
Energy above the lowest structure with this stoichiometry: 0.000 eV per atom
Crystal system: hexagonal
Mass density: 6705 kg/m3
Energy of formation: 331 meV per atom

The structure in extended XYZ format:
```
11
Lattice="11.216 0.000 0.000 -5.608 9.713 0.000 0.000 0.000 3.456" Properties=species:S:1:pos:R:3 pbc="T T T"
Sm -3.712 6.429 0.000
Sm 0.000 6.475 0.000
Sm 1.896 3.284 0.000
Sm 7.424 0.000 0.000
Sm 5.608 3.238 0.000
Y -2.270 3.931 1.728
Y 4.540 0.000 1.728
Y 3.338 5.782 1.728
Er -0.889 1.540 0.000
Er 1.779 0.000 0.000
Er 4.719 8.173 0.000
```


(4)
Density functional theory data (GGA-PBE) for a geometry-optimized Sm12Y2Er structure.

## Properties
Electronic total energy: -0.1758 Ha/atom
Crystal system: orthorhombic
Mass density: 6959 kg/m3
Energy of formation: 158 meV per atom

The structure in extended XYZ format:
```
30
Lattice="3.590 -5.762 0.000 3.590 5.762 0.000 0.000 0.000 24.789" Properties=species:S:1:pos:R:3 pbc="T T T"
Sm 1.803 2.881 3.175
Sm 3.590 5.748 22.929
Sm 1.923 2.881 14.521
Sm 3.590 5.504 10.894
Sm 1.795 0.000 4.922
Sm 1.795 0.000 8.058
Sm 1.795 0.000 16.731
Sm 1.795 0.000 19.868
Sm 3.590 0.258 10.894
Sm 5.258 2.881 14.521
Sm 3.590 0.014 22.929
Sm 5.378 2.881 3.175
Sm 1.803 -2.881 21.614
Sm 3.590 -0.014 1.860
Sm 1.923 -2.881 10.268
Sm 3.590 -0.258 13.896
Sm 5.386 0.000 4.922
Sm 5.386 0.000 8.058
Sm 5.386 0.000 16.731
Sm 5.386 0.000 19.868
Sm 3.590 -5.504 13.896
Sm 5.258 -2.881 10.268
Sm 3.590 -5.748 1.860
Sm 5.378 -2.881 21.614
Y 3.590 2.881 6.692
Y 3.590 2.881 18.207
Y 3.590 -2.881 6.583
Y 3.590 -2.881 18.097
Er 3.590 2.881 0.012
Er 3.590 -2.881 24.777
```


(5)
Density functional theory data (GGA-PBE) for a geometry-optimized Sm3Y4Er4 structure.

## Properties
Electronic total energy: -0.1887 Ha/atom
Energy above the lowest structure with this stoichiometry: 0.000 eV per atom
Crystal system: orthorhombic
Mass density: 6785 kg/m3
Energy of formation: 161 meV per atom

The structure in extended XYZ format:
```
11
Lattice="10.554 0.000 0.000 0.000 2.842 6.021 0.000 -2.842 6.021" Properties=species:S:1:pos:R:3 pbc="T T T"
Sm 0.000 0.000 0.000
Sm 3.054 0.000 1.860
Sm 7.500 0.000 1.860
Y 0.000 0.000 8.499
Y 2.217 0.000 5.965
Y 5.277 0.000 7.613
Y 8.337 0.000 5.965
Er 0.000 0.000 3.579
Er 3.159 0.000 10.236
Er 5.277 0.000 4.331
Er 7.395 0.000 10.236
```


(6)
Density functional theory data (GGA-PBE) for a geometry-optimized Sm2Y3Er9 structure.

## Properties
Electronic total energy: -0.1768 Ha/atom
Crystal system: triclinic
Mass density: 7597 kg/m3
Energy of formation: 182 meV per atom

The structure in extended XYZ format:
```
14
Lattice="5.389 0.000 0.000 -1.228 8.221 0.000 -1.946 -1.585 10.228" Properties=species:S:1:pos:R:3 pbc="T T T"
Sm -0.972 3.564 2.473
Sm 3.186 3.073 7.755
Y 0.358 0.252 3.412
Y 2.080 4.110 0.000
Y 1.856 6.384 6.815
Er -1.024 6.563 0.665
Er -1.022 5.636 5.233
Er 0.503 0.496 7.165
Er -0.541 5.781 8.830
Er 1.107 3.318 5.114
Er 2.755 0.855 1.398
Er 1.711 6.140 3.063
Er 3.236 1.000 4.995
Er 3.238 0.073 9.563
```


(7)
Density functional theory data (GGA-PBE) for a geometry-optimized Sm3Y4Er2 structure.

## Properties
Electronic total energy: -0.1999 Ha/atom
Energy above the lowest structure with this stoichiometry: 0.000 eV per atom
Crystal system: monoclinic
Mass density: 6512 kg/m3
Energy of formation: 20 meV per atom

The structure in extended XYZ format:
```
9
Lattice="7.592 -2.525 0.000 7.592 2.525 0.000 -2.516 0.000 7.591" Properties=species:S:1:pos:R:3 pbc="T T T"
Sm 0.000 0.000 0.000
Sm 2.549 0.000 2.538
Sm 10.119 0.000 5.053
Y 2.537 0.000 7.590
Y 5.083 0.000 5.056
Y 7.585 0.000 2.535
Y 10.132 0.000 0.001
Er 0.006 0.000 5.057
Er 12.663 0.000 2.534
```


(8)
Density functional theory data (GGA-PBE) for a geometry-optimized Sm2Y4Er structure.

## Properties
Electronic total energy: -0.2031 Ha/atom
Crystal system: orthorhombic
Mass density: 5938 kg/m3
Energy of formation: 167 meV per atom

The structure in extended XYZ format:
```
14
Lattice="2.821 -4.896 0.000 2.821 4.896 0.000 0.000 0.000 16.675" Properties=species:S:1:pos:R:3 pbc="T T T"
Sm 2.821 3.256 9.265
Sm 2.821 3.256 15.748
Sm 2.821 -3.256 0.927
Sm 2.821 -3.256 7.410
Y 2.821 3.269 2.463
Y 2.821 3.269 5.875
Y 2.821 3.263 12.506
Y 2.821 0.000 0.000
Y 2.821 0.000 8.338
Y 2.821 -3.263 4.169
Y 2.821 -3.269 10.800
Y 2.821 -3.269 14.212
Er 2.821 0.001 4.169
Er 2.821 -0.001 12.506
```


Q: The lowest electronic total energy belongs to which entry?
A: Sm2Y4Er